No. 1
VASP calculation (GGA-PBE) on crystalline Pm4Te2RhBr at its relaxed geometry.

Lattice parameters (Å, degrees): 7.623 4.221 7.716 90.00 108.14 90.00
Sites, in units of the cell vectors:
Pm (0.211, 0.000, 0.212)
Pm (0.235, 0.500, 0.764)
Pm (0.765, 0.500, 0.236)
Pm (0.789, 0.000, 0.788)
Te (0.000, 0.000, 0.500)
Te (0.500, 0.500, 0.500)
Rh (0.000, 0.500, 0.000)
Br (0.500, 0.000, 0.000)

Results
Fermi-level density of states   0.700 states/eV per atom
Raw total energy   -5.46 eV/atom
SG   P2/m
E_form (uncorrected)   -1.168 eV/atom

No. 2
VASP calculation (GGA-PBE) on crystalline Pm4TeRhBr2 at its relaxed geometry.

Lattice parameters (Å, degrees): 7.735 4.149 7.926 90.00 108.15 90.00
Sites, in units of the cell vectors:
Pm (0.202, 0.000, 0.205)
Pm (0.223, 0.500, 0.779)
Pm (0.777, 0.500, 0.221)
Pm (0.798, 0.000, 0.795)
Te (0.000, 0.000, 0.500)
Rh (0.000, 0.500, 0.000)
Br (0.500, 0.000, 0.000)
Br (0.500, 0.500, 0.500)

Results
Fermi-level density of states   0.756 states/eV per atom
Raw total energy   -5.23 eV/atom
SG   P2/m
E_form (uncorrected)   -1.125 eV/atom

No. 3
VASP calculation (GGA-PBE) on crystalline Pm6TlRh2Br3 at its relaxed geometry.

Lattice parameters (Å, degrees): 10.282 10.282 9.154 106.93 106.93 22.99
Sites, in units of the cell vectors:
Pm (0.029, 0.029, 0.269)
Pm (0.316, 0.316, 0.430)
Pm (0.336, 0.336, 0.866)
Pm (0.664, 0.664, 0.134)
Pm (0.684, 0.684, 0.570)
Pm (0.971, 0.971, 0.731)
Tl (0.500, 0.500, 0.000)
Rh (0.172, 0.172, 0.349)
Rh (0.828, 0.828, 0.651)
Br (0.169, 0.169, 0.848)
Br (0.500, 0.500, 0.500)
Br (0.831, 0.831, 0.152)

Results
Fermi-level density of states   0.508 states/eV per atom
Raw total energy   -5.16 eV/atom
SG   C2/m
E_form (uncorrected)   -0.946 eV/atom